Pm2Pr3NdSm6 | PBE | optimized geometry Values from VASP.

Output
Total moment = 0.0 μB per formula unit
SG = C2/m
Volume = 34.64 A^3/atom
Formation energy from the elements = 0.0127 eV per atom

The structure in Quantum ESPRESSO input format:
```
&SYSTEM
  ibrav = 0, nat = 12, ntyp = 4
/
ATOMIC_SPECIES
Pm 145.00 Pm.upf
Pr 140.91 Pr.upf
Sm 150.36 Sm.upf
Nd 144.24 Nd.upf
ATOMIC_POSITIONS angstrom
Pm 2.8251 -2.3297 0.0890
Pm -0.5747 -3.5520 0.6857
Pr 4.8066 0.2861 5.4951
Pr -1.9947 -2.1589 6.6889
Pr 1.4060 -0.9364 6.0920
Sm -1.0005 -1.0842 3.3274
Sm 3.8125 -0.7887 8.8567
Sm 0.4086 -2.0123 9.4541
Sm 1.8262 -3.4114 3.4170
Sm 2.4033 0.1395 2.7299
Sm 0.9858 1.5385 8.7670
Nd 0.0000 0.0000 0.0000
CELL_PARAMETERS angstrom
-3.9777 -4.7753 1.2830
6.2281 -1.1064 -0.5084
0.5615 4.0088 11.4093
```

=====

PmPr6Nd2Sm | PBE | optimized geometry Values from VASP.

Output
Total moment = 0.0 μB per formula unit
SG = C2/c
Volume = 35.86 A^3/atom
Formation energy from the elements = 0.1095 eV per atom

The structure in Quantum ESPRESSO input format:
```
&SYSTEM
  ibrav = 0, nat = 20, ntyp = 4
/
ATOMIC_SPECIES
Sm 150.36 Sm.upf
Nd 144.24 Nd.upf
Pr 140.91 Pr.upf
Pm 145.00 Pm.upf
ATOMIC_POSITIONS angstrom
Sm 3.1056 1.6117 3.7610
Sm 7.8896 2.6126 0.6228
Nd 5.5384 -0.1836 0.8961
Nd 0.7543 1.9885 0.9769
Nd 10.2408 2.2358 3.4069
Nd 5.4568 4.4079 3.4877
Pr 6.7907 1.3433 3.6875
Pr 8.7787 -0.3509 5.8397
Pr 2.0067 4.7213 2.6063
Pr 2.2165 4.5752 -1.4559
Pr 8.9885 -0.4970 1.7776
Pr 5.0714 -0.8498 6.1596
Pr 9.8555 5.1007 -1.7481
Pr 3.9946 6.9349 0.9930
Pr 7.0006 -2.7106 3.3909
Pr 1.1397 -0.8764 6.1320
Pr 4.2044 2.8810 0.6964
Pr 5.9238 5.0741 -1.7758
Pm 7.8896 -3.7947 6.7969
Pm 3.1056 8.0190 -2.4131
CELL_PARAMETERS angstrom
9.5682 -2.1723 -2.2543
0.7135 8.7710 -2.0508
0.7135 -2.3744 8.6890
```

=====

PmPr2Nd6Sm3 | PBE | optimized geometry Values from VASP.

Output
Total moment = 0.0 μB per formula unit
SG = C2/m
Volume = 35.04 A^3/atom
Formation energy from the elements = 0.0129 eV per atom

The structure in Quantum ESPRESSO input format:
```
&SYSTEM
  ibrav = 0, nat = 12, ntyp = 4
/
ATOMIC_SPECIES
Nd 144.24 Nd.upf
Pr 140.91 Pr.upf
Sm 150.36 Sm.upf
Pm 145.00 Pm.upf
ATOMIC_POSITIONS angstrom
Nd -0.0100 -0.0173 8.9625
Nd 2.1200 3.6708 3.0224
Nd -0.0053 3.6599 8.9671
Nd -1.0627 1.8291 3.0179
Nd 3.1728 1.8245 8.9671
Nd 2.1154 -0.0064 3.0179
Pr 3.1828 1.8371 0.0023
Pr 0.0006 3.6749 0.0023
Sm 4.2383 -0.0117 5.9925
Sm -2.1283 3.6652 5.9925
Sm 1.0550 1.8268 5.9925
Pm 0.0000 0.0000 0.0000
CELL_PARAMETERS angstrom
6.3662 -0.0014 0.0023
-3.1828 5.5135 0.0023
-1.0734 -1.8585 11.9804
```

=====

Pm3Pr2NdSm6 | PBE | optimized geometry Values from VASP.

Output
Total moment = 0.0 μB per formula unit
SG = C2/m
Volume = 34.49 A^3/atom
Formation energy from the elements = 0.0128 eV per atom

The structure in Quantum ESPRESSO input format:
```
&SYSTEM
  ibrav = 0, nat = 12, ntyp = 4
/
ATOMIC_SPECIES
Sm 150.36 Sm.upf
Pr 140.91 Pr.upf
Pm 145.00 Pm.upf
Nd 144.24 Nd.upf
ATOMIC_POSITIONS angstrom
Sm -6.4246 -0.9377 7.1183
Sm -3.5263 1.0571 8.1194
Sm -2.1640 2.1055 2.0729
Sm -6.4474 2.6852 6.6367
Sm -5.0624 0.1106 1.0718
Sm -2.1413 -1.5175 2.5545
Pr -2.8964 -1.9960 -1.0006
Pr -2.9192 1.6294 -1.4825
Pm -4.2715 -3.0416 5.0775
Pm -4.2943 0.5839 4.5956
Pm -4.3171 4.2093 4.1136
Nd 0.0000 0.0000 0.0000
CELL_PARAMETERS angstrom
-2.9420 5.2546 -1.9644
-2.8736 -5.6213 -0.5187
-2.7731 1.5344 11.6743
```